LiCu2Pt: optimized geometry, PBEsol.

As for the energy of formation from the pure elements: -0.220 eV/atom.

Cell lengths 3.685, 3.685, 4.459 Å; angles 114.41, 114.41, 90.00 degrees
Element x y z (fractional)
1 Pt 0.250 0.750 0.500
2 Cu 0.000 0.000 0.000
3 Cu 0.750 0.250 0.500
4 Li 0.500 0.500 0.000